Entry 1:
Compound: ScCoAgPb2
Source: Alexandria via LeMat-Bulk
Functional: SCAN
Structure: PBEsol geometry

```
data_ScCoAgPb2
_chemical_formula_sum 'Sc1 Co1 Ag1 Pb2'
_cell_length_a 5.4401
_cell_length_b 5.4401
_cell_length_c 4.9506
_cell_angle_alpha 90.00
_cell_angle_beta 90.00
_cell_angle_gamma 90.00
_space_group_name_H-M_alt 'P 4/m m m'
_space_group_IT_number 123
_space_group_name_Hall '-P 4 2'
loop_
_atom_site_label
_atom_site_type_symbol
_atom_site_fract_x
_atom_site_fract_y
_atom_site_fract_z
Sc1 Sc 0.0000 0.0000 0.0000
Co1 Co 0.5000 0.5000 0.5000
Ag1 Ag 0.0000 0.0000 0.5000
Pb1 Pb 0.0000 0.5000 0.0000
```

Total DFT energy (no corrections) in eV per atom: -41.887
Spin magnetization in μB per formula unit: 2.1
Density in Mg/m³: 7.10
ΔH_f (0 K) in meV/atom: 1007

***

Entry 2:
Compound: CoAgTe2Pb
Source: Alexandria via LeMat-Bulk
Functional: SCAN
Structure: PBEsol geometry

```
data_CoAgTe2Pb
_chemical_formula_sum 'Co1 Ag1 Te2 Pb1'
_cell_length_a 5.0169
_cell_length_b 5.0169
_cell_length_c 4.8819
_cell_angle_alpha 90.00
_cell_angle_beta 90.00
_cell_angle_gamma 90.00
_space_group_name_H-M_alt 'P 4/m m m'
_space_group_IT_number 123
_space_group_name_Hall '-P 4 2'
loop_
_atom_site_label
_atom_site_type_symbol
_atom_site_fract_x
_atom_site_fract_y
_atom_site_fract_z
Co1 Co 0.0000 0.0000 0.0000
Ag1 Ag 0.5000 0.5000 0.5000
Te1 Te 0.0000 0.5000 0.0000
Pb1 Pb 0.0000 0.0000 0.5000
```

Total DFT energy (no corrections) in eV per atom: -39.388
Spin magnetization in μB per formula unit: 0.5
E_form (uncorrected) in eV per atom: 0.403
Density in Mg/m³: 8.50

***

Entry 3:
Compound: CoAg2Pd
Source: Alexandria via LeMat-Bulk
Functional: SCAN
Structure: PBEsol geometry

```
data_CoAg2Pd
_chemical_formula_sum 'Co4 Ag8 Pd4'
_cell_length_a 6.1732
_cell_length_b 6.1732
_cell_length_c 6.1732
_cell_angle_alpha 90.00
_cell_angle_beta 90.00
_cell_angle_gamma 90.00
_space_group_name_H-M_alt 'F m -3 m'
_space_group_IT_number 225
_space_group_name_Hall '-F 4 2 3'
loop_
_atom_site_label
_atom_site_type_symbol
_atom_site_fract_x
_atom_site_fract_y
_atom_site_fract_z
Co1 Co 0.0000 0.0000 0.0000
Ag1 Ag 0.2500 0.2500 0.2500
Pd1 Pd 0.0000 0.0000 0.5000
```

Total DFT energy (no corrections) in eV per atom: -28.036
Spin magnetization in μB per formula unit: 2.0
Density in Mg/m³: 10.76
ΔH_f (0 K) in meV/atom: 167